Entry 1:
Computed, not measured: crystalline CoNi2Br at its relaxed geometry at the PBEsol level of DFT.

The value obtained for the calculated density is 8.413 g/cm3. Its uncorrected formation energy is 70.4 kJ per mole of atoms. As for the raw total energy: -4.751 eV per atom.

The space group is Fm-3m (No. 225) and the conventional cell measures 5.8702, 5.8702 and 5.8702 Å, with angles of 90.00, 90.00 and 90.00 degrees. The asymmetric unit holds Co at (0.0000, 0.0000, 0.0000), Ni at (0.2500, 0.2500, 0.2500) and Br at (0.0000, 0.0000, 0.5000).


Entry 2:
Computed, not measured: crystalline Ba2YRh at its relaxed geometry at the PBEsol level of DFT.

The value obtained for the calculated density is 5.429 g/cm3. As for the calculated formation energy: 0.273 eV per atom. As for the raw total energy: -4.542 eV per atom.

The space group is R-3m (No. 166, hexagonal axes) and the conventional cell measures 4.0093, 4.0093 and 30.7454 Å, with angles of 90.00, 90.00 and 120.00 degrees. The asymmetric unit holds Ba at (0.0000, 0.0000, 0.2264), Y at (0.0000, 0.0000, 0.0000) and Rh at (0.0000, 0.0000, 0.5000).


Entry 3:
Computed, not measured: crystalline NaLi3Sb at its relaxed geometry at the PBEsol level of DFT.

The value obtained for the calculated density is 1.952 g/cm3. Its uncorrected formation energy is -25.5 kJ per mole of atoms. As for the raw total energy: -2.635 eV per atom.

The space group is Pm-3m (No. 221) and the conventional cell measures 5.2033, 5.2033 and 5.2033 Å, with angles of 90.00, 90.00 and 90.00 degrees. The asymmetric unit holds Na at (0.0000, 0.0000, 0.0000), Li at (0.0000, 0.5000, 0.5000) and Sb at (0.5000, 0.5000, 0.5000).


Entry 4:
Computed, not measured: crystalline NaGeN at its relaxed geometry at the PBEsol level of DFT.

The value obtained for the calculated density is 4.306 g/cm3. Its uncorrected formation energy is -23.3 kJ per mole of atoms. As for the raw total energy: -5.197 eV per atom.

The space group is P6_3mc (No. 186) and the conventional cell measures 3.0629, 3.0629 and 10.4079 Å, with angles of 90.00, 90.00 and 120.00 degrees. The asymmetric unit holds Na at (0.3333, 0.6667, 0.0000), Ge at (0.0000, 0.0000, 0.2465) and N at (0.3333, 0.6667, 0.3355).


Entry 5:
Computed, not measured: crystalline SrLi3Pb at its relaxed geometry at the PBEsol level of DFT.

The value obtained for the calculated density is 3.738 g/cm3. As for the calculated formation energy: -0.155 eV per atom. As for the raw total energy: -2.502 eV per atom.

The space group is Pm-3m (No. 221) and the conventional cell measures 5.1952, 5.1952 and 5.1952 Å, with angles of 90.00, 90.00 and 90.00 degrees. The asymmetric unit holds Sr at (0.0000, 0.0000, 0.0000), Li at (0.0000, 0.5000, 0.5000) and Pb at (0.5000, 0.5000, 0.5000).


Entry 6:
Computed, not measured: crystalline BaSrMg2 at its relaxed geometry at the PBEsol level of DFT.

The value obtained for the calculated density is 3.344 g/cm3. As for the calculated formation energy: -0.011 eV per atom. As for the raw total energy: -1.867 eV per atom.

The space group is F-43m (No. 216) and the conventional cell measures 8.1602, 8.1602 and 8.1602 Å, with angles of 90.00, 90.00 and 90.00 degrees. The asymmetric unit holds Ba at (0.0000, 0.0000, 0.0000), Sr at (0.2500, 0.2500, 0.2500), Mg at (0.0000, 0.0000, 0.5000) and Mg at (0.2500, 0.2500, 0.7500).


Entry 7:
Computed, not measured: crystalline YAg2Sb at its relaxed geometry at the PBEsol level of DFT.

The value obtained for the calculated density is 8.205 g/cm3. Its uncorrected formation energy is -31.9 kJ per mole of atoms. As for the raw total energy: -4.831 eV per atom.

The space group is Amm2 (No. 38) and the conventional cell measures 4.3319, 3.3027 and 12.0630 Å, with angles of 90.00, 90.00 and 90.00 degrees. The asymmetric unit holds Y at (0.0000, 0.0000, 0.0000), Ag at (0.0000, 0.0000, 0.2423), Ag at (0.5000, 0.0000, 0.6550) and Sb at (0.5000, 0.0000, 0.3882).


Entry 8:
Computed, not measured: crystalline ZrBeW2 at its relaxed geometry at the PBEsol level of DFT.

The value obtained for the calculated density is 12.358 g/cm3. As for the calculated formation energy: 0.342 eV per atom. As for the raw total energy: -9.834 eV per atom.

The space group is P2/m (No. 10) and the conventional cell measures 2.7769, 4.5996 and 4.9507 Å, with angles of 90.00, 96.10 and 90.00 degrees. The asymmetric unit holds Zr at (0.0000, 0.0000, 0.0000), Be at (0.5000, 0.0000, 0.5000) and W at (0.2849, 0.5000, 0.7471).


Entry 9:
Computed, not measured: crystalline Ba3LiRe at its relaxed geometry at the PBEsol level of DFT.

The value obtained for the calculated density is 5.260 g/cm3. As for the calculated formation energy: 1.439 eV per atom. As for the raw total energy: -2.911 eV per atom.

The space group is Pm-3m (No. 221) and the conventional cell measures 5.7592, 5.7592 and 5.7592 Å, with angles of 90.00, 90.00 and 90.00 degrees. The asymmetric unit holds Ba at (0.0000, 0.0000, 0.5000), Li at (0.0000, 0.0000, 0.0000) and Re at (0.5000, 0.5000, 0.5000).


Entry 10:
Computed, not measured: crystalline Y2ZrAl at its relaxed geometry at the PBEsol level of DFT.

The value obtained for the calculated density is 5.020 g/cm3. As for the calculated formation energy: -0.153 eV per atom. As for the raw total energy: -6.860 eV per atom.

The space group is P4mm (No. 99) and the conventional cell measures 3.3390, 3.3390 and 8.7823 Å, with angles of 90.00, 90.00 and 90.00 degrees. The asymmetric unit holds Y at (0.0000, 0.0000, 0.0000), Y at (0.5000, 0.5000, 0.3146), Zr at (0.0000, 0.0000, 0.5697) and Al at (0.5000, 0.5000, 0.7737).


Entry 11:
Computed, not measured: crystalline LiScTe2Br at its relaxed geometry at the PBEsol level of DFT.

The value obtained for the calculated density is 5.083 g/cm3. Its uncorrected formation energy is -12.7 kJ per mole of atoms. As for the raw total energy: -3.631 eV per atom.

The space group is P4/mmm (No. 123) and the conventional cell measures 4.7728, 4.7728 and 5.5503 Å, with angles of 90.00, 90.00 and 90.00 degrees. The asymmetric unit holds Li at (0.0000, 0.0000, 0.0000), Sc at (0.0000, 0.0000, 0.5000), Te at (0.0000, 0.5000, 0.0000) and Br at (0.5000, 0.5000, 0.5000).


Entry 12:
Computed, not measured: crystalline CaLa2Pd2 at its relaxed geometry at the PBEsol level of DFT.

The value obtained for the calculated density is 6.843 g/cm3. As for the calculated formation energy: -0.625 eV per atom. As for the raw total energy: -5.573 eV per atom.

The space group is P4/mbm (No. 127) and the conventional cell measures 7.9337, 7.9337 and 4.0921 Å, with angles of 90.00, 90.00 and 90.00 degrees. The asymmetric unit holds Ca at (0.0000, 0.0000, 0.0000), La at (0.1625, 0.3375, 0.5000) and Pd at (0.1313, 0.6313, 0.0000).